Density functional theory data (GGA-PBE) for In6SnHg5 after structural relaxation.

DFT formation energy ... 0.015 eV per atom

Unit cell a=9.503 b=16.184 c=4.797 alpha=90.00 beta=120.18 gamma=90.00
Space group C2/m (No. 12)
Inequivalent atoms, fractional coordinates:
In1 0.245 0.000 0.244 x4
In2 0.250 0.169 0.749 x8
Sn1 0.000 0.500 0.000 x2
Hg1 0.000 0.000 0.500 x2
Hg2 0.000 0.166 0.000 x4
Hg3 0.000 0.335 0.500 x4